## CeEu2Cd (GGA-PBE)

Data for an optimized crystal structure of CeEu2Cd.

Geometry as CIF:
```
data_CeEu2Cd
_chemical_formula_sum 'Ce4 Eu8 Cd4'
_symmetry_space_group_name_H-M 'P 1'
_symmetry_Int_Tables_number 1
_cell_length_a 7.911
_cell_length_b 7.911
_cell_length_c 7.911
_cell_angle_alpha 90.00
_cell_angle_beta 90.00
_cell_angle_gamma 90.00
loop_
_symmetry_equiv_pos_as_xyz
'x,y,z'
loop_
_atom_site_label
_atom_site_type_symbol
_atom_site_fract_x
_atom_site_fract_y
_atom_site_fract_z
Ce1 Ce 0.000 0.000 0.000
Ce2 Ce 0.000 0.500 0.500
Ce3 Ce 0.500 0.000 0.500
Ce4 Ce 0.500 0.500 0.000
Eu1 Eu 0.250 0.250 0.250
Eu2 Eu 0.250 0.250 0.750
Eu3 Eu 0.250 0.750 0.250
Eu4 Eu 0.250 0.750 0.750
Eu5 Eu 0.750 0.250 0.250
Eu6 Eu 0.750 0.250 0.750
Eu7 Eu 0.750 0.750 0.250
Eu8 Eu 0.750 0.750 0.750
Cd1 Cd 0.000 0.000 0.500
Cd2 Cd 0.000 0.500 0.000
Cd3 Cd 0.500 0.000 0.000
Cd4 Cd 0.500 0.500 0.500
```

Output
The calculation puts the energy of formation at 0.2 eV per formula unit. Its energy is -6.7909 eV/atom. Its symmetry is No. 225. The calculation puts the relative energy among the computed polymorphs at 0.085 eV/atom.